No. 1
## ZrBeHg (GGA-PBE)

Data for ZrBeHg after structural relaxation.

Computed properties:
The formation energy is 0.017 eV per atom. The value obtained for the distance to the lowest polymorph of the same formula is 218 meV per atom. The energy is -12.525 eV per cell. Its calculated volume is 17.424 Å³/atom.

a b c (Å): 6.0104 6.0104 6.0104
angles (deg): 150.58 150.58 42.09
Last column: nearest neighbours and their distance in Å.
Positions (direct):
1 Zr 0.0000 0.0000 0.0000  4 Be 2.74, 4 Zr 3.05
2 Be 0.6501 0.6501 0.0000  4 Hg 2.68, 4 Zr 2.74
3 Hg 0.2911 0.2911 0.0000  4 Be 2.68



No. 2
## Ac2La4Sm7 (GGA-PBE)

Data for Ac2La4Sm7 after structural relaxation.

Computed properties:
The formation energy is 0.150 eV per atom. The energy is -59.016 eV per cell. Its calculated volume is 36.817 Å³/atom.

a b c (Å): 6.3773 6.3773 13.5890
angles (deg): 90.00 90.00 120.00
Last column: nearest neighbours and their distance in Å.
Positions (direct):
1 Ac 0.3333 0.6667 0.0000  9 Sm 3.62-3.68, 3 Ac 3.68
2 Ac 0.6667 0.3333 0.0000  9 Sm 3.62-3.68, 3 Ac 3.68
3 La 0.0000 0.0000 0.3909  1 La 2.96, 3 Sm 3.28
4 La 0.0000 0.0000 0.6091  1 La 2.96, 3 Sm 3.28
5 La 0.3333 0.6667 0.5000  9 La 3.68-3.97
6 La 0.6667 0.3333 0.5000  9 La 3.68-3.97
7 Sm 0.0000 0.0000 0.0000  6 Ac 3.68, 6 Sm 3.79
8 Sm 0.0000 0.3637 0.2202  1 La 3.28, 4 Sm 3.53, 2 Ac 3.62
9 Sm 0.0000 0.6363 0.7798  1 La 3.28, 4 Sm 3.53, 2 Ac 3.62
10 Sm 0.3637 0.0000 0.2202  1 La 3.28, 4 Sm 3.53, 2 Ac 3.62
11 Sm 0.3637 0.3637 0.7798  1 La 3.28, 4 Sm 3.53, 2 Ac 3.62
12 Sm 0.6363 0.0000 0.7798  1 La 3.28, 4 Sm 3.53, 2 Ac 3.62
13 Sm 0.6363 0.6363 0.2202  1 La 3.28, 4 Sm 3.53, 2 Ac 3.62



No. 3
## Ho4PPb2 (GGA-PBE)

Data for Ho4PPb2 after structural relaxation.

Computed properties:
The formation energy is -0.607 eV per atom. The value obtained for the distance to the lowest polymorph of the same formula is 42 meV per atom. The energy is -70.767 eV per cell. Its calculated volume is 27.905 Å³/atom.

a b c (Å): 6.5797 6.5483 9.5887
angles (deg): 90.00 108.98 90.00
Last column: nearest neighbours and their distance in Å.
Positions (direct):
1 Ho 0.1669 0.2500 0.0799  1 P 2.71
2 Ho 0.2571 0.0022 0.7533  1 P 2.70
3 Ho 0.2571 0.4978 0.7533  1 P 2.70
4 Ho 0.3017 0.7500 0.3686  1 P 2.68
5 Ho 0.6983 0.2500 0.6314  1 P 2.68
6 Ho 0.7429 0.5022 0.2467  1 P 2.70
7 Ho 0.7429 0.9978 0.2467  1 P 2.70
8 Ho 0.8331 0.7500 0.9201  1 P 2.71
9 P 0.4903 0.2500 0.3407  4 Ho 2.68-2.71, 1 Pb 2.81
10 P 0.5097 0.7500 0.6593  4 Ho 2.68-2.71, 1 Pb 2.81
11 Pb 0.1418 0.2500 0.4499  1 P 2.81
12 Pb 0.3401 0.7500 0.0486  8 Ho 3.16-3.51
13 Pb 0.6599 0.2500 0.9514  8 Ho 3.16-3.51
14 Pb 0.8582 0.7500 0.5501  1 P 2.81



No. 4
## CsPdRh3 (GGA-PBE)

Data for CsPdRh3 after structural relaxation.

Computed properties:
The formation energy is 2.190 eV per atom. The value obtained for the distance to the lowest polymorph of the same formula is 937 meV per atom. The energy is -17.149 eV per cell. Its calculated volume is 23.475 Å³/atom.

a b c (Å): 4.8962 4.8962 4.8962
angles (deg): 90.00 90.00 90.00
Last column: nearest neighbours and their distance in Å.
Positions (direct):
1 Cs 0.0000 0.0000 0.0000  6 Rh 2.45
2 Pd 0.5000 0.5000 0.5000  12 Rh 3.46
3 Rh 0.0000 0.0000 0.5000  2 Cs 2.45
4 Rh 0.0000 0.5000 0.0000  2 Cs 2.45
5 Rh 0.5000 0.0000 0.0000  2 Cs 2.45



No. 5
## ZrSnP2Cl (GGA-PBE)

Data for ZrSnP2Cl after structural relaxation.

Computed properties:
For the uncorrected formation energy, the calculation gives 0.58 eV/atom. The value obtained for the distance to the lowest polymorph of the same formula is 802 meV per atom. The energy is -22.293 eV per cell. Its calculated volume is 24.386 Å³/atom.

a b c (Å): 5.0139 5.0139 4.8502
angles (deg): 90.00 90.00 90.00
Last column: nearest neighbours and their distance in Å.
Positions (direct):
1 Zr 0.0000 0.0000 0.0000  8 P 3.49, 4 Cl 3.55
2 Sn 0.5000 0.5000 0.5000  2 Cl 2.43, 4 P 2.51
3 P 0.0000 0.5000 0.5000  2 Sn 2.51
4 P 0.5000 0.0000 0.5000  2 Sn 2.51
5 Cl 0.5000 0.5000 0.0000  2 Sn 2.43



No. 6
## Pm3Ga4Ir2 (GGA-PBE)

Data for Pm3Ga4Ir2 after structural relaxation.

Computed properties:
The formation energy is -0.703 eV per atom. The energy is -50.404 eV per cell. Its calculated volume is 21.459 Å³/atom.

a b c (Å): 5.9147 5.9147 8.4126
angles (deg): 106.93 106.93 43.72
Last column: nearest neighbours and their distance in Å.
Positions (direct):
1 Pm 0.0000 0.0000 0.0000  8 Ga 3.19-3.32
2 Pm 0.3752 0.3752 0.3067  7 Ga 3.05-3.20, 4 Ir 3.11-3.25
3 Pm 0.6248 0.6248 0.6933  7 Ga 3.05-3.20, 4 Ir 3.11-3.25
4 Ga 0.0977 0.0977 0.4110  3 Ir 2.49-2.62
5 Ga 0.2794 0.2794 0.9252  1 Ir 2.51, 2 Ga 2.71
6 Ga 0.7206 0.7206 0.0748  1 Ir 2.51, 2 Ga 2.71
7 Ga 0.9023 0.9023 0.5890  3 Ir 2.49-2.62
8 Ir 0.3196 0.3196 0.6473  4 Ga 2.49-2.62
9 Ir 0.6804 0.6804 0.3527  4 Ga 2.49-2.62



No. 7
## Tb2PmPr4 (GGA-PBE)

Data for Tb2PmPr4 after structural relaxation.

Computed properties:
The formation energy is 0.116 eV per atom. The value obtained for the distance to the lowest polymorph of the same formula is 54 meV per atom. The energy is -64.630 eV per cell. Its calculated volume is 34.615 Å³/atom.

a b c (Å): 6.2275 6.7475 11.9239
angles (deg): 90.00 104.71 90.00
Last column: nearest neighbours and their distance in Å.
Positions (direct):
1 Tb 0.0965 0.2500 0.4973  6 Pr 3.45-3.76, 2 Pm 3.49-3.72, 2 Tb 3.59
2 Tb 0.2117 0.2500 0.0686  9 Pr 3.42-3.68
3 Tb 0.7883 0.7500 0.9314  9 Pr 3.42-3.68
4 Tb 0.9035 0.7500 0.5027  6 Pr 3.45-3.76, 2 Pm 3.49-3.72, 2 Tb 3.59
5 Pm 0.3479 0.7500 0.3445  6 Pr 3.46-3.52, 2 Tb 3.49-3.72
6 Pm 0.6521 0.2500 0.6555  6 Pr 3.46-3.52, 2 Tb 3.49-3.72
7 Pr 0.1451 0.0053 0.7856  5 Pr 3.30-3.64, 1 Pm 3.48, 2 Tb 3.59-3.68
8 Pr 0.1451 0.4947 0.7856  5 Pr 3.30-3.64, 1 Pm 3.48, 2 Tb 3.59-3.68
9 Pr 0.3490 0.7500 0.0549  4 Tb 3.42-3.49, 1 Pm 3.46, 4 Pr 3.58-3.64
10 Pr 0.4842 0.7500 0.6445  3 Tb 3.45-3.58, 3 Pm 3.46-3.52, 2 Pr 3.47
11 Pr 0.5158 0.2500 0.3555  3 Tb 3.45-3.58, 3 Pm 3.46-3.52, 2 Pr 3.47
12 Pr 0.6510 0.2500 0.9451  4 Tb 3.42-3.49, 1 Pm 3.46, 4 Pr 3.58-3.64
13 Pr 0.8549 0.5053 0.2144  5 Pr 3.30-3.64, 1 Pm 3.48, 2 Tb 3.59-3.68
14 Pr 0.8549 0.9947 0.2144  5 Pr 3.30-3.64, 1 Pm 3.48, 2 Tb 3.59-3.68



No. 8
## KFeSbI2 (GGA-PBE)

Data for KFeSbI2 after structural relaxation.

Computed properties:
For the uncorrected formation energy, the calculation gives 0.97 eV/atom. The value obtained for the distance to the lowest polymorph of the same formula is 1161 meV per atom. The energy is -11.912 eV per cell. Its calculated volume is 55.156 Å³/atom.

a b c (Å): 6.4977 6.4977 6.5319
angles (deg): 90.00 90.00 90.00
Last column: nearest neighbours and their distance in Å.
Positions (direct):
1 K 0.0000 0.0000 0.0000  4 I 3.25, 2 Sb 3.27
2 Fe 0.5000 0.5000 0.5000  4 Sb 4.59, 8 I 4.61
3 Sb 0.0000 0.0000 0.5000  2 K 3.27
4 I 0.0000 0.5000 0.0000  2 K 3.25
5 I 0.5000 0.0000 0.0000  2 K 3.25



No. 9
## Dy2Y5Sc2 (GGA-PBE)

Data for Dy2Y5Sc2 after structural relaxation.

Computed properties:
The formation energy is 0.119 eV per atom. The value obtained for the distance to the lowest polymorph of the same formula is 97 meV per atom. The energy is -106.240 eV per cell. Its calculated volume is 30.728 Å³/atom.

a b c (Å): 11.7625 11.7625 11.7625
angles (deg): 152.90 56.56 131.36
Last column: nearest neighbours and their distance in Å.
Positions (direct):
1 Dy 0.0000 0.0000 0.0000  6 Sc 3.32-3.41, 2 Y 3.56
2 Dy 0.4168 0.1668 0.2500  2 Dy 3.19, 6 Y 3.40-3.48
3 Dy 0.5000 0.0000 0.5000  6 Sc 3.32-3.41, 2 Y 3.56
4 Dy 0.5832 0.8332 0.7500  2 Dy 3.19, 6 Y 3.40-3.48
5 Y 0.0334 0.8725 0.1610  1 Sc 3.13, 2 Y 3.39, 1 Dy 3.40
6 Y 0.1974 0.4474 0.7500  8 Y 3.39-3.61, 3 Dy 3.48-3.74
7 Y 0.2115 0.8725 0.3390  1 Sc 3.13, 2 Y 3.39, 1 Dy 3.40
8 Y 0.2484 0.6387 0.6097  2 Sc 3.20-3.24, 3 Y 3.45-3.50, 1 Dy 3.46
9 Y 0.4710 0.3613 0.1097  2 Sc 3.20-3.24, 3 Y 3.45-3.50, 1 Dy 3.46
10 Y 0.5290 0.6387 0.8903  2 Sc 3.20-3.24, 3 Y 3.45-3.50, 1 Dy 3.46
11 Y 0.7516 0.3613 0.3903  2 Sc 3.20-3.24, 3 Y 3.45-3.50, 1 Dy 3.46
12 Y 0.7885 0.1275 0.6610  1 Sc 3.13, 2 Y 3.39, 1 Dy 3.40
13 Y 0.8026 0.5526 0.2500  8 Y 3.39-3.61, 3 Dy 3.48-3.74
14 Y 0.9666 0.1275 0.8390  1 Sc 3.13, 2 Y 3.39, 1 Dy 3.40
15 Sc 0.1161 0.6624 0.4537  3 Y 3.13-3.24, 2 Sc 3.24, 3 Dy 3.32-3.41
16 Sc 0.2913 0.3376 0.9537  3 Y 3.13-3.24, 2 Sc 3.24, 3 Dy 3.32-3.41
17 Sc 0.7087 0.6624 0.0463  3 Y 3.13-3.24, 2 Sc 3.24, 3 Dy 3.32-3.41
18 Sc 0.8839 0.3376 0.5463  3 Y 3.13-3.24, 2 Sc 3.24, 3 Dy 3.32-3.41



No. 10
## BeInMo4 (GGA-PBE)

Data for BeInMo4 after structural relaxation.

Computed properties:
The formation energy is 0.625 eV per atom. The energy is -46.041 eV per cell. Its calculated volume is 17.172 Å³/atom.

a b c (Å): 5.2621 5.2621 5.2621
angles (deg): 60.00 60.00 60.00
Last column: nearest neighbours and their distance in Å.
Positions (direct):
1 Be 0.0000 0.0000 0.0000  12 Mo 3.08, 4 In 3.22
2 In 0.7500 0.7500 0.7500  12 Mo 3.09, 4 Be 3.22
3 Mo 0.3742 0.3742 0.3742  6 Mo 2.62-2.65
4 Mo 0.3742 0.3742 0.8773  6 Mo 2.62-2.65
5 Mo 0.3742 0.8773 0.3742  6 Mo 2.62-2.65
6 Mo 0.8773 0.3742 0.3742  6 Mo 2.62-2.65